Entry 1:
{
  "formula": "Pr4HgPbN",
  "functional": "PBE",
  "state": "optimized geometry",
  "formation_energy_uncorrected_mev_per_atom": -671,
  "lattice_angstrom": [[7.065, 0.000, 0.000], [0.000, 7.068, 0.000], [-3.532, 0.000, 8.181]],
  "species": ["N", "N", "Hg", "Hg", "Pb", "Pb", "Pr", "Pr", "Pr", "Pr", "Pr", "Pr", "Pr", "Pr"],
  "fractional_positions": [[0.254, 0.750, 0.507], [0.746, 0.250, 0.493], [0.116, 0.250, 0.232], [0.884, 0.750, 0.768], [0.390, 0.250, 0.781], [0.610, 0.750, 0.219], [0.000, 0.000, 0.500], [0.079, 0.750, 0.158], [0.588, 0.250, 0.176], [0.500, 0.000, 0.500], [0.000, 0.500, 0.500], [0.412, 0.750, 0.824], [0.500, 0.500, 0.500], [0.921, 0.250, 0.842]]
}

=====

Entry 2:
{
  "formula": "RbHg2PbN",
  "functional": "PBE",
  "state": "optimized geometry",
  "formation_energy_uncorrected_mev_per_atom": 621,
  "lattice_angstrom": [[-4.007, -1.280, 2.926], [0.815, -5.118, -1.122], [3.095, -0.398, 4.064]],
  "species": ["Hg", "Hg", "Pb", "N", "Rb"],
  "fractional_positions": [[0.000, 0.000, 0.500], [0.500, 0.000, 0.000], [0.000, 0.500, 0.000], [0.000, 0.000, 0.000], [0.500, 0.500, 0.500]]
}

=====

Entry 3:
{
  "formula": "HgRu2PbN",
  "functional": "PBE",
  "state": "optimized geometry",
  "formation_energy_uncorrected_mev_per_atom": 2763,
  "lattice_angstrom": [[5.084, 0.000, 0.000], [0.000, 5.795, 0.000], [0.000, 0.000, 5.084]],
  "species": ["Ru", "Ru", "N", "Hg", "Pb"],
  "fractional_positions": [[0.500, 0.000, 0.000], [0.000, 0.000, 0.500], [0.500, 0.500, 0.500], [0.000, 0.000, 0.000], [0.000, 0.500, 0.000]]
}

=====

Entry 4:
{
  "formula": "Sc2HgPbN",
  "functional": "PBE",
  "state": "optimized geometry",
  "formation_energy_uncorrected_mev_per_atom": 994,
  "lattice_angstrom": [[-1.428, -1.414, 5.163], [2.473, -3.597, -0.301], [4.342, 2.820, 1.973]],
  "species": ["Sc", "Sc", "Pb", "N", "Hg"],
  "fractional_positions": [[0.000, 0.000, 0.500], [0.500, 0.000, 0.000], [0.000, 0.000, 0.000], [0.000, 0.500, 0.000], [0.500, 0.500, 0.500]]
}

=====

Entry 5:
{
  "formula": "HgPbSe2N",
  "functional": "PBE",
  "state": "optimized geometry",
  "formation_energy_uncorrected_mev_per_atom": 1001,
  "de_polymorph_ev_per_atom": 0.1996,
  "lattice_angstrom": [[-4.169, 2.315, 2.864], [-2.460, -4.969, 0.436], [2.195, -0.753, 3.804]],
  "species": ["Se", "Se", "Hg", "N", "Pb"],
  "fractional_positions": [[0.000, 0.500, 0.000], [0.500, 0.000, 0.000], [0.500, 0.500, 0.500], [0.000, 0.000, 0.500], [0.000, 0.000, 0.000]]
}

=====

Entry 6:
{
  "formula": "HgPbSeN2",
  "functional": "PBE",
  "state": "optimized geometry",
  "formation_energy_uncorrected_mev_per_atom": 1523,
  "de_polymorph_ev_per_atom": 0.0000,
  "lattice_angstrom": [[4.434, 0.000, 0.000], [0.000, 4.434, 0.000], [0.000, 0.000, 6.067]],
  "species": ["N", "N", "Hg", "Pb", "Se"],
  "fractional_positions": [[0.500, 0.000, 0.000], [0.000, 0.500, 0.000], [0.500, 0.500, 0.500], [0.000, 0.000, 0.000], [0.000, 0.000, 0.500]]
}

=====

Entry 7:
{
  "formula": "HgPbSe2N",
  "functional": "PBE",
  "state": "optimized geometry",
  "formation_energy_uncorrected_mev_per_atom": 801,
  "de_polymorph_ev_per_atom": 0.0000,
  "lattice_angstrom": [[5.451, 0.000, 0.000], [0.000, 5.451, 0.000], [0.000, 0.000, 4.218]],
  "species": ["Se", "Se", "Pb", "N", "Hg"],
  "fractional_positions": [[0.500, 0.000, 0.000], [0.000, 0.500, 0.000], [0.500, 0.500, 0.500], [0.000, 0.000, 0.500], [0.000, 0.000, 0.000]]
}

=====

Entry 8:
{
  "formula": "HgPbSeN2",
  "functional": "PBE",
  "state": "optimized geometry",
  "formation_energy_uncorrected_mev_per_atom": 1562,
  "de_polymorph_ev_per_atom": 0.0390,
  "lattice_angstrom": [[-1.936, -0.046, -4.078], [3.948, -1.154, -1.861], [-1.393, -5.940, 0.729]],
  "species": ["Hg", "Se", "N", "N", "Pb"],
  "fractional_positions": [[0.000, 0.000, 0.000], [0.000, 0.000, 0.500], [0.500, 0.000, 0.000], [0.000, 0.500, 0.000], [0.500, 0.500, 0.500]]
}

=====

Entry 9:
{
  "formula": "SiHgPbN2",
  "functional": "PBE",
  "state": "optimized geometry",
  "formation_energy_uncorrected_mev_per_atom": 2056,
  "lattice_angstrom": [[4.335, 0.000, 0.000], [0.000, 6.111, 0.000], [0.000, 0.000, 4.335]],
  "species": ["N", "N", "Pb", "Si", "Hg"],
  "fractional_positions": [[0.000, 0.000, 0.500], [0.500, 0.000, 0.000], [0.000, 0.500, 0.000], [0.500, 0.500, 0.500], [0.000, 0.000, 0.000]]
}

=====

Entry 10:
{
  "formula": "Sr6HgPb2N",
  "functional": "PBE",
  "state": "optimized geometry",
  "formation_energy_uncorrected_mev_per_atom": -421,
  "lattice_angstrom": [[8.010, 0.000, 0.000], [0.000, 8.017, 0.000], [0.000, 0.000, 11.336]],
  "species": ["Sr", "Sr", "Sr", "Sr", "Sr", "Sr", "Sr", "Sr", "Sr", "Sr", "Sr", "Sr", "N", "N", "Pb", "Pb", "Pb", "Pb", "Hg", "Hg"],
  "fractional_positions": [[0.728, 0.474, 0.500], [0.000, 0.753, 0.227], [0.273, 0.020, 0.500], [0.272, 0.474, 0.500], [0.727, 0.020, 0.500], [0.000, 0.753, 0.773], [0.227, 0.980, 0.000], [0.500, 0.247, 0.727], [0.228, 0.526, 0.000], [0.500, 0.247, 0.273], [0.773, 0.980, 0.000], [0.772, 0.526, 0.000], [0.500, 0.248, 0.500], [0.000, 0.752, 0.000], [0.000, 0.250, 0.750], [0.500, 0.750, 0.750], [0.000, 0.250, 0.250], [0.500, 0.750, 0.250], [0.500, 0.253, 0.000], [0.000, 0.747, 0.500]]
}

=====

Entry 11:
{
  "formula": "TaHgPbN2",
  "functional": "PBE",
  "state": "optimized geometry",
  "formation_energy_uncorrected_mev_per_atom": 2447,
  "lattice_angstrom": [[-0.431, -3.971, -1.262], [0.294, -1.734, 5.354], [-4.162, 0.344, 0.340]],
  "species": ["Hg", "N", "N", "Ta", "Pb"],
  "fractional_positions": [[0.000, 0.000, 0.000], [0.000, 0.000, 0.500], [0.500, 0.000, 0.000], [0.500, 0.500, 0.500], [0.000, 0.500, 0.000]]
}

=====

Entry 12:
{
  "formula": "TaHgPb2N",
  "functional": "PBE",
  "state": "optimized geometry",
  "formation_energy_uncorrected_mev_per_atom": 386,
  "lattice_angstrom": [[-2.770, -3.938, -2.472], [-0.234, -2.017, 3.477], [-4.639, 2.536, 1.159]],
  "species": ["Pb", "Pb", "Hg", "Ta", "N"],
  "fractional_positions": [[0.000, 0.000, 0.500], [0.500, 0.000, 0.000], [0.500, 0.500, 0.500], [0.000, 0.500, 0.000], [0.000, 0.000, 0.000]]
}